Entry 1:
DFT (PBE-GGA) results for a relaxed structure of ErTmSc2In4.

abc: 5.1526 5.1526 25.2741
angles: 90.00 90.00 120.00
Space group R-3m (No. 166, hexagonal axes)
Symmetry-distinct sites (fractional):
Er (0.0000, 0.0000, 0.0000) (multiplicity 3)
Tm (0.0000, 0.0000, 0.5000) (multiplicity 3)
Sc (0.0000, 0.0000, 0.2500) (multiplicity 6)
In (0.0000, 0.0000, 0.1252) (multiplicity 6)
In (0.0000, 0.0000, 0.3752) (multiplicity 6)

Output
Energy of formation from the pure elements   -0.41 eV per atom
Energy   -4.493 eV per atom


Entry 2:
DFT (PBE-GGA) results for a relaxed structure of Zn2AgCl.

abc: 3.7279 3.7279 11.6242
angles: 90.00 90.00 90.00
Space group I-4m2 (No. 119)
Symmetry-distinct sites (fractional):
Zn (0.0000, 0.0000, 0.0000) (multiplicity 2)
Zn (0.0000, 0.5000, 0.2500) (multiplicity 2)
Ag (0.0000, 0.5000, 0.7500) (multiplicity 2)
Cl (0.0000, 0.0000, 0.5000) (multiplicity 2)

Output
ΔE_f (raw)   1.14 kcal/mol of atoms
Energy   -1.762 eV per atom


Entry 3:
DFT (PBE-GGA) results for a relaxed structure of EuCrGa3.

abc: 4.7248 4.7248 4.7248
angles: 90.00 90.00 90.00
Space group Pm-3m (No. 221)
Symmetry-distinct sites (fractional):
Eu (0.0000, 0.0000, 0.0000) (multiplicity 1)
Cr (0.5000, 0.5000, 0.5000) (multiplicity 1)
Ga (0.0000, 0.5000, 0.5000) (multiplicity 3)

Output
Energy of formation from the pure elements   -0.25 eV per atom
Energy   -6.046 eV per atom


Entry 4:
DFT (PBE-GGA) results for a relaxed structure of NaTa2Co2.

abc: 4.2471 4.2471 9.6919
angles: 90.00 90.00 90.00
Space group I4/mmm (No. 139)
Symmetry-distinct sites (fractional):
Na (0.0000, 0.0000, 0.0000) (multiplicity 2)
Ta (0.0000, 0.5000, 0.2500) (multiplicity 4)
Co (0.0000, 0.0000, 0.3808) (multiplicity 4)

Output
Energy of formation from the pure elements   0.26 eV per atom
Energy   -7.584 eV per atom


Entry 5:
DFT (PBE-GGA) results for a relaxed structure of Ba2LaOs.

abc: 3.7484 3.7484 10.9458
angles: 90.00 90.00 90.00
Space group P4mm (No. 99)
Symmetry-distinct sites (fractional):
Ba (0.0000, 0.0000, 0.0000) (multiplicity 1)
Ba (0.5000, 0.5000, 0.3621) (multiplicity 1)
La (0.0000, 0.0000, 0.6822) (multiplicity 1)
Os (0.5000, 0.5000, 0.8108) (multiplicity 1)

Output
Energy of formation from the pure elements   0.27 eV per atom
Energy   -4.735 eV per atom


Entry 6:
DFT (PBE-GGA) results for a relaxed structure of TmMnCuNi.

abc: 6.3457 6.3457 6.3457
angles: 90.00 90.00 90.00
Space group F-43m (No. 216)
Symmetry-distinct sites (fractional):
Tm (0.0000, 0.0000, 0.0000) (multiplicity 4)
Mn (0.0000, 0.0000, 0.5000) (multiplicity 4)
Cu (0.2500, 0.2500, 0.2500) (multiplicity 4)
Ni (0.2500, 0.2500, 0.7500) (multiplicity 4)

Output
Energy of formation from the pure elements   -0.11 eV per atom
Energy   -5.988 eV per atom


Entry 7:
DFT (PBE-GGA) results for a relaxed structure of Na4LiCl5.

abc: 13.1198 3.9404 9.6994
angles: 90.00 119.53 90.00
Space group C2/m (No. 12)
Symmetry-distinct sites (fractional):
Na (0.1018, 0.0000, 0.3989) (multiplicity 4)
Na (0.1984, 0.5000, 0.8045) (multiplicity 4)
Li (0.0000, 0.5000, 0.0000) (multiplicity 2)
Cl (0.0000, 0.5000, 0.5000) (multiplicity 2)
Cl (0.0928, 0.0000, 0.9073) (multiplicity 4)
Cl (0.1955, 0.5000, 0.2897) (multiplicity 4)

Output
ΔE_f (raw)   -41.35 kcal/mol of atoms
Energy   -3.436 eV per atom


Entry 8:
DFT (PBE-GGA) results for a relaxed structure of NdThCu10.

abc: 4.1200 5.1515 8.8264
angles: 90.00 90.00 90.00
Space group Pmmm (No. 47)
Symmetry-distinct sites (fractional):
Nd (0.0000, 0.0000, 0.0000) (multiplicity 1)
Th (0.0000, 0.5000, 0.5000) (multiplicity 1)
Cu (0.0000, 0.0000, 0.3333) (multiplicity 2)
Cu (0.0000, 0.5000, 0.1658) (multiplicity 2)
Cu (0.5000, 0.0000, 0.5000) (multiplicity 1)
Cu (0.5000, 0.2517, 0.2519) (multiplicity 4)
Cu (0.5000, 0.5000, 0.0000) (multiplicity 1)

Output
Energy of formation from the pure elements   -0.15 eV per atom
Energy   -4.578 eV per atom


Entry 9:
DFT (PBE-GGA) results for a relaxed structure of KZrAlF2.

abc: 4.4652 4.4652 5.6167
angles: 90.00 90.00 90.00
Space group P4/mmm (No. 123)
Symmetry-distinct sites (fractional):
K (0.0000, 0.0000, 0.0000) (multiplicity 1)
Zr (0.5000, 0.5000, 0.5000) (multiplicity 1)
Al (0.0000, 0.0000, 0.5000) (multiplicity 1)
F (0.0000, 0.5000, 0.0000) (multiplicity 2)

Output
ΔE_f (raw)   -11.91 kcal/mol of atoms
Energy   -3.943 eV per atom


Entry 10:
DFT (PBE-GGA) results for a relaxed structure of TcRuSe2.

abc: 5.5305 5.5305 11.0120
angles: 90.00 90.00 90.00
Space group I-42d (No. 122)
Symmetry-distinct sites (fractional):
Tc (0.0000, 0.0000, 0.0000) (multiplicity 4)
Ru (0.0000, 0.0000, 0.5000) (multiplicity 4)
Se (0.2493, 0.2500, 0.6250) (multiplicity 8)

Output
ΔE_f (raw)   4.13 kcal/mol of atoms
Energy   -6.473 eV per atom


| no. | V (Å³/f.u.) |
| --- | --- |
| 1 | 194 |
| 2 | 81 |
| 3 | 105 |
| 4 | 87 |
| 5 | 154 |
| 6 | 64 |
| 7 | 218 |
| 8 | 187 |
| 9 | 112 |
| 10 | 84 |